# 1
# PBE-GGA Ac8CoSn2, relaxed
data_Ac8CoSn2
_cell_length_a 20.3009
_cell_length_b 4.8025
_cell_length_c 8.7675
_cell_angle_alpha 90.00
_cell_angle_beta 96.60
_cell_angle_gamma 90.00
_symmetry_space_group_name_H-M 'C 1 2/m 1'
_symmetry_Int_Tables_number 12
_symmetry_space_group_name_Hall '-C 2y'
loop_
_atom_site_label
_atom_site_fract_x
_atom_site_fract_y
_atom_site_fract_z
Ac1 0.9999 0.0000 0.2081
Ac2 0.0966 0.5000 0.5286
Ac3 0.1409 0.5000 0.0180
Ac4 0.2135 0.0000 0.3503
Co1 0.0000 0.5000 0.0000
Sn1 0.1822 0.0000 0.7620
# E_form in eV/atom: -0.2343

# 2
# PBE-GGA Ac3CoSn, relaxed
data_Ac3CoSn
_cell_length_a 5.5204
_cell_length_b 5.5204
_cell_length_c 5.5204
_cell_angle_alpha 90.00
_cell_angle_beta 90.00
_cell_angle_gamma 90.00
_symmetry_space_group_name_H-M 'P m -3 m'
_symmetry_Int_Tables_number 221
_symmetry_space_group_name_Hall '-P 4 2 3'
loop_
_atom_site_label
_atom_site_fract_x
_atom_site_fract_y
_atom_site_fract_z
Ac1 0.0000 0.0000 0.5000
Co1 0.0000 0.0000 0.0000
Sn1 0.5000 0.5000 0.5000
# E_form in eV/atom: -0.3270

# 3
# PBE-GGA Ac5Co2Sn, relaxed
data_Ac5Co2Sn
_cell_length_a 8.3211
_cell_length_b 8.3211
_cell_length_c 14.5804
_cell_angle_alpha 90.00
_cell_angle_beta 90.00
_cell_angle_gamma 90.00
_symmetry_space_group_name_H-M 'I 4/m c m'
_symmetry_Int_Tables_number 140
_symmetry_space_group_name_Hall '-I 4 2c'
loop_
_atom_site_label
_atom_site_fract_x
_atom_site_fract_y
_atom_site_fract_z
Ac1 0.0000 0.0000 0.0000
Ac2 0.1597 0.3403 0.1328
Co1 0.1432 0.3568 0.5000
Sn1 0.0000 0.0000 0.2500
# E_form in eV/atom: -0.1928

# 4
# PBE-GGA Ac2CoSn5, relaxed
data_Ac2CoSn5
_cell_length_a 6.7166
_cell_length_b 6.7166
_cell_length_c 10.4985
_cell_angle_alpha 90.00
_cell_angle_beta 90.00
_cell_angle_gamma 90.00
_symmetry_space_group_name_H-M 'I 4 m m'
_symmetry_Int_Tables_number 107
_symmetry_space_group_name_Hall 'I 4 -2'
loop_
_atom_site_label
_atom_site_fract_x
_atom_site_fract_y
_atom_site_fract_z
Ac1 0.0000 0.5000 0.0000
Co1 0.0000 0.0000 0.1833
Sn1 0.0000 0.0000 0.9484
Sn2 0.2370 0.2370 0.7429
# E_form in eV/atom: -0.3269

# 5
# PBE-GGA Ac3Co3Sn, relaxed
data_Ac3Co3Sn
_cell_length_a 10.5146
_cell_length_b 10.5146
_cell_length_c 3.9600
_cell_angle_alpha 90.00
_cell_angle_beta 90.00
_cell_angle_gamma 120.00
_symmetry_space_group_name_H-M 'P 63/m'
_symmetry_Int_Tables_number 176
_symmetry_space_group_name_Hall '-P 6c'
loop_
_atom_site_label
_atom_site_fract_x
_atom_site_fract_y
_atom_site_fract_z
Ac1 0.0533 0.6837 0.2500
Co1 0.0174 0.8752 0.7500
Sn1 0.3333 0.6667 0.7500
# E_form in eV/atom: -0.1669

# 6
# PBE-GGA AcCoSn2, relaxed
data_AcCoSn2
_cell_length_a 4.6281
_cell_length_b 18.7527
_cell_length_c 4.6078
_cell_angle_alpha 90.00
_cell_angle_beta 90.00
_cell_angle_gamma 90.00
_symmetry_space_group_name_H-M 'C m m m'
_symmetry_Int_Tables_number 65
_symmetry_space_group_name_Hall '-C 2 2'
loop_
_atom_site_label
_atom_site_fract_x
_atom_site_fract_y
_atom_site_fract_z
Ac1 0.0000 0.1415 0.0000
Co1 0.0000 0.4318 0.5000
Sn1 0.0000 0.0000 0.5000
Sn2 0.0000 0.2971 0.5000
Sn3 0.0000 0.5000 0.0000
# E_form in eV/atom: -0.4791

# 7
# PBE-GGA AcCo6Sn12, relaxed
data_AcCo6Sn12
_cell_length_a 12.3023
_cell_length_b 12.3023
_cell_length_c 9.0599
_cell_angle_alpha 90.00
_cell_angle_beta 90.00
_cell_angle_gamma 120.00
_symmetry_space_group_name_H-M 'R -3 m'
_symmetry_Int_Tables_number 166
_symmetry_space_group_name_Hall '-R 3 2"'
loop_
_atom_site_label
_atom_site_fract_x
_atom_site_fract_y
_atom_site_fract_z
Ac1 0.0000 0.0000 0.0000
Co1 0.0497 0.5249 0.2543
Sn1 0.0000 0.3781 0.5000
Sn2 0.0869 0.1738 0.3324
# E_form in eV/atom: 0.0044

# 8
# PBE-GGA Sr2Ac3Co, relaxed
data_Sr2Ac3Co
_cell_length_a 7.5636
_cell_length_b 13.2802
_cell_length_c 10.8575
_cell_angle_alpha 90.00
_cell_angle_beta 104.98
_cell_angle_gamma 90.00
_symmetry_space_group_name_H-M 'C 1 2/m 1'
_symmetry_Int_Tables_number 12
_symmetry_space_group_name_Hall '-C 2y'
loop_
_atom_site_label
_atom_site_fract_x
_atom_site_fract_y
_atom_site_fract_z
Sr1 0.0000 0.0000 0.0000
Sr2 0.0000 0.1536 0.5000
Sr3 0.0000 0.5000 0.5000
Ac1 0.1230 0.5000 0.1718
Ac2 0.2189 0.2810 0.8276
Co1 0.0000 0.3345 0.0000
# E_form in eV/atom: 0.0996

# 9
# PBE-GGA SrAc3Co, relaxed
data_SrAc3Co
_cell_length_a 7.2237
_cell_length_b 7.2237
_cell_length_c 30.1436
_cell_angle_alpha 90.00
_cell_angle_beta 90.00
_cell_angle_gamma 120.00
_symmetry_space_group_name_H-M 'R -3'
_symmetry_Int_Tables_number 148
_symmetry_space_group_name_Hall '-R 3'
loop_
_atom_site_label
_atom_site_fract_x
_atom_site_fract_y
_atom_site_fract_z
Sr1 0.0000 0.0000 0.1659
Ac1 0.0047 0.6604 0.0529
Co1 0.0000 0.0000 0.3329
# E_form in eV/atom: 0.0726

# 10
# PBE-GGA SrAc12Co6, relaxed
data_SrAc12Co6
_cell_length_a 10.8244
_cell_length_b 10.8244
_cell_length_c 10.8244
_cell_angle_alpha 90.00
_cell_angle_beta 90.00
_cell_angle_gamma 90.00
_symmetry_space_group_name_H-M 'I m -3'
_symmetry_Int_Tables_number 204
_symmetry_space_group_name_Hall '-I 2 2 3'
loop_
_atom_site_label
_atom_site_fract_x
_atom_site_fract_y
_atom_site_fract_z
Sr1 0.0000 0.0000 0.0000
Ac1 0.0000 0.3199 0.1916
Co1 0.0000 0.1059 0.5000
# E_form in eV/atom: -0.0119

# 11
# PBE-GGA SrAc3Co, relaxed
data_SrAc3Co
_cell_length_a 5.8473
_cell_length_b 5.8473
_cell_length_c 5.8473
_cell_angle_alpha 90.00
_cell_angle_beta 90.00
_cell_angle_gamma 90.00
_symmetry_space_group_name_H-M 'P m -3 m'
_symmetry_Int_Tables_number 221
_symmetry_space_group_name_Hall '-P 4 2 3'
loop_
_atom_site_label
_atom_site_fract_x
_atom_site_fract_y
_atom_site_fract_z
Sr1 0.0000 0.0000 0.0000
Ac1 0.0000 0.5000 0.5000
Co1 0.5000 0.5000 0.5000
# E_form in eV/atom: -0.0011

# 12
# PBE-GGA Sr3Ac4Co2, relaxed
data_Sr3Ac4Co2
_cell_length_a 20.0543
_cell_length_b 4.1751
_cell_length_c 10.2860
_cell_angle_alpha 90.00
_cell_angle_beta 118.13
_cell_angle_gamma 90.00
_symmetry_space_group_name_H-M 'C 1 2/m 1'
_symmetry_Int_Tables_number 12
_symmetry_space_group_name_Hall '-C 2y'
loop_
_atom_site_label
_atom_site_fract_x
_atom_site_fract_y
_atom_site_fract_z
Sr1 0.0000 0.0000 0.0000
Sr2 0.1429 0.5000 0.8198
Ac1 0.0770 0.0000 0.4342
Ac2 0.2096 0.5000 0.3105
Co1 0.1792 0.5000 0.5638
# E_form in eV/atom: 0.0236

# 13
# PBE-GGA Sr2Ac4Co, relaxed
data_Sr2Ac4Co
_cell_length_a 5.7272
_cell_length_b 5.7272
_cell_length_c 20.0874
_cell_angle_alpha 90.00
_cell_angle_beta 90.00
_cell_angle_gamma 90.00
_symmetry_space_group_name_H-M 'I 4/m m m'
_symmetry_Int_Tables_number 139
_symmetry_space_group_name_Hall '-I 4 2'
loop_
_atom_site_label
_atom_site_fract_x
_atom_site_fract_y
_atom_site_fract_z
Sr1 0.0000 0.0000 0.1617
Ac1 0.0000 0.0000 0.3603
Ac2 0.0000 0.5000 0.0000
Co1 0.0000 0.0000 0.5000
# E_form in eV/atom: 0.1429

# 14
# PBE-GGA SrAc8Co4, relaxed
data_SrAc8Co4
_cell_length_a 14.7617
_cell_length_b 14.7617
_cell_length_c 4.2975
_cell_angle_alpha 90.00
_cell_angle_beta 90.00
_cell_angle_gamma 90.00
_symmetry_space_group_name_H-M 'I 4/m'
_symmetry_Int_Tables_number 87
_symmetry_space_group_name_Hall '-I 4'
loop_
_atom_site_label
_atom_site_fract_x
_atom_site_fract_y
_atom_site_fract_z
Sr1 0.0000 0.0000 0.0000
Ac1 0.0418 0.6633 0.0000
Ac2 0.1518 0.1944 0.5000
Co1 0.1509 0.3284 0.0000
# E_form in eV/atom: -0.0359

# 15
# PBE-GGA AcTbCo4, relaxed
data_AcTbCo4
_cell_length_a 7.3664
_cell_length_b 7.3664
_cell_length_c 7.3664
_cell_angle_alpha 90.00
_cell_angle_beta 90.00
_cell_angle_gamma 90.00
_symmetry_space_group_name_H-M 'F -4 3 m'
_symmetry_Int_Tables_number 216
_symmetry_space_group_name_Hall 'F -4 2 3'
loop_
_atom_site_label
_atom_site_fract_x
_atom_site_fract_y
_atom_site_fract_z
Ac1 0.0000 0.0000 0.0000
Tb1 0.2500 0.2500 0.7500
Co1 0.1240 0.1240 0.3760
# E_form in eV/atom: 0.0222

# 16
# PBE-GGA AcTb3Co, relaxed
data_AcTb3Co
_cell_length_a 5.3968
_cell_length_b 5.3968
_cell_length_c 5.3968
_cell_angle_alpha 90.00
_cell_angle_beta 90.00
_cell_angle_gamma 90.00
_symmetry_space_group_name_H-M 'P m -3 m'
_symmetry_Int_Tables_number 221
_symmetry_space_group_name_Hall '-P 4 2 3'
loop_
_atom_site_label
_atom_site_fract_x
_atom_site_fract_y
_atom_site_fract_z
Ac1 0.0000 0.0000 0.0000
Tb1 0.0000 0.5000 0.5000
Co1 0.5000 0.5000 0.5000
# E_form in eV/atom: -0.0233

# 17
# PBE-GGA AcTb12Co6, relaxed
data_AcTb12Co6
_cell_length_a 9.8854
_cell_length_b 9.8854
_cell_length_c 9.8854
_cell_angle_alpha 90.00
_cell_angle_beta 90.00
_cell_angle_gamma 90.00
_symmetry_space_group_name_H-M 'I m -3'
_symmetry_Int_Tables_number 204
_symmetry_space_group_name_Hall '-I 2 2 3'
loop_
_atom_site_label
_atom_site_fract_x
_atom_site_fract_y
_atom_site_fract_z
Ac1 0.0000 0.0000 0.0000
Tb1 0.0000 0.1949 0.3127
Co1 0.0000 0.3877 0.5000
# E_form in eV/atom: -0.1163

# 18
# PBE-GGA Ac3TbCo2, relaxed
data_Ac3TbCo2
_cell_length_a 17.4867
_cell_length_b 4.1855
_cell_length_c 13.1197
_cell_angle_alpha 90.00
_cell_angle_beta 126.26
_cell_angle_gamma 90.00
_symmetry_space_group_name_H-M 'C 1 2/m 1'
_symmetry_Int_Tables_number 12
_symmetry_space_group_name_Hall '-C 2y'
loop_
_atom_site_label
_atom_site_fract_x
_atom_site_fract_y
_atom_site_fract_z
Ac1 0.0624 0.0000 0.1947
Ac2 0.1786 0.0000 0.5528
Ac3 0.1904 0.5000 0.0580
Tb1 0.0587 0.5000 0.7017
Co1 0.1229 0.0000 0.8693
Co2 0.1243 0.5000 0.3750
# E_form in eV/atom: -0.0335

# 19
# PBE-GGA AcTb2Co6, relaxed
data_AcTb2Co6
_cell_length_a 6.7673
_cell_length_b 6.7673
_cell_length_c 4.1857
_cell_angle_alpha 90.00
_cell_angle_beta 90.00
_cell_angle_gamma 120.00
_symmetry_space_group_name_H-M 'P 6/m m m'
_symmetry_Int_Tables_number 191
_symmetry_space_group_name_Hall '-P 6 2'
loop_
_atom_site_label
_atom_site_fract_x
_atom_site_fract_y
_atom_site_fract_z
Ac1 0.0000 0.0000 0.0000
Tb1 0.3333 0.6667 0.0000
Co1 0.0000 0.3373 0.5000
# E_form in eV/atom: -0.0834

# 20
# PBE-GGA Ac6CoTc, relaxed
data_Ac6CoTc
_cell_length_a 7.1740
_cell_length_b 7.1805
_cell_length_c 8.0473
_cell_angle_alpha 90.02
_cell_angle_beta 116.45
_cell_angle_gamma 119.96
_symmetry_space_group_name_H-M 'P -1'
_symmetry_Int_Tables_number 2
_symmetry_space_group_name_Hall '-P 1'
loop_
_atom_site_label
_atom_site_fract_x
_atom_site_fract_y
_atom_site_fract_z
Ac1 0.0044 0.4118 0.2498
Ac2 0.3383 0.0926 0.2509
Ac3 0.3416 0.2551 0.7507
Co1 0.5000 0.5000 0.5000
Tc1 0.5000 0.0000 0.0000
# E_form in eV/atom: 0.0157

# 21
# PBE-GGA Ac8CoTc2, relaxed
data_Ac8CoTc2
_cell_length_a 7.2811
_cell_length_b 8.0518
_cell_length_c 8.0944
_cell_angle_alpha 64.27
_cell_angle_beta 72.87
_cell_angle_gamma 88.70
_symmetry_space_group_name_H-M 'P -1'
_symmetry_Int_Tables_number 2
_symmetry_space_group_name_Hall '-P 1'
loop_
_atom_site_label
_atom_site_fract_x
_atom_site_fract_y
_atom_site_fract_z
Ac1 0.2184 0.3618 0.2956
Ac2 0.2377 0.8941 0.7524
Ac3 0.2723 0.8947 0.2358
Ac4 0.2757 0.4026 0.7828
Co1 0.0000 0.0000 0.5000
Tc1 0.4563 0.6919 0.9924
# E_form in eV/atom: 0.0896

Ordered density of states at the Fermi level results: 25.9 3.1 31.9 11.6 21.9 13.6 50.5 30.3 34.0 40.3 6.0 18.0 19.4 19.2 43.7 9.0 30.5 23.3 7.9 7.0 10.5; unit states/eV/cell.